A geometry-optimized LaCu2Si2 structure, computed with PBE.

## Properties
**E_form (uncorrected)**: -0.0669 eV per atom
**Electronic total energy**: -4.86 eV per atom

Cell: 7.678 7.678 2.861 Å, 90.00 90.00 90.00°
Space group P4/mbm (No. 127)
Unique sites:
La: 0.000 0.000 0.000
Cu: 0.117 0.383 0.000
Si: 0.166 0.666 0.500

***

A geometry-optimized Nd2DyTe4 structure, computed with PBE.

## Properties
**E_form (uncorrected)**: -1.3998 eV per atom
**Excess energy over the best structure of this formula in the dataset**: 0.0 kJ/mol of formula units
**Electronic total energy**: -5.21 eV per atom

Cell: 16.502 4.435 7.808 Å, 90.00 117.63 90.00°
Space group C2/m (No. 12)
Unique sites:
Nd: 0.240 0.000 0.228
Dy: 0.000 0.500 0.500
Te: 0.117 0.500 0.940
Te: 0.126 0.000 0.470

***

A geometry-optimized CaMo3N structure, computed with PBE.

## Properties
**E_form (uncorrected)**: 0.2449 eV per atom
**Excess energy over the best structure of this formula in the dataset**: 0.0 kJ/mol of formula units
**Electronic total energy**: -8.32 eV per atom

Cell: 4.268 4.268 4.268 Å, 90.00 90.00 90.00°
Space group Pm-3m (No. 221)
Unique sites:
Ca: 0.000 0.000 0.000
Mo: 0.000 0.500 0.500
N: 0.500 0.500 0.500

***

A geometry-optimized La3CePu2Te6 structure, computed with PBE.

## Properties
**E_form (uncorrected)**: -1.3938 eV per atom
**Electronic total energy**: -7.08 eV per atom

Cell: 7.800 13.507 7.889 Å, 90.00 109.24 90.00°
Space group C2/m (No. 12)
Unique sites:
La: 0.000 0.000 0.000
La: 0.000 0.334 0.000
Ce: 0.000 0.500 0.500
Pu: 0.000 0.167 0.500
Te: 0.244 0.000 0.740
Te: 0.249 0.332 0.741

***

A geometry-optimized BeMoPt2 structure, computed with PBE.

## Properties
**Electronic total energy**: -7.01 eV per atom
**ΔE_f**: -0.352 eV per atom

Cell: 2.778 2.778 7.115 Å, 90.00 90.00 90.00°
Space group P4mm (No. 99)
Unique sites:
Be: 0.000 0.000 0.000
Mo: 0.500 0.500 0.236
Pt: 0.000 0.000 0.507
Pt: 0.500 0.500 0.817

***

A geometry-optimized Th2Ge3BiRh4 structure, computed with PBE.

## Properties
**Electronic total energy**: -6.95 eV per atom
**ΔE_f**: -0.757 eV per atom

Cell: 4.199 4.199 11.215 Å, 90.00 90.00 90.00°
Space group P-4m2 (No. 115)
Unique sites:
Th: 0.000 0.500 0.234
Ge: 0.000 0.500 0.879
Ge: 0.500 0.500 0.500
Bi: 0.000 0.000 0.500
Rh: 0.000 0.000 0.000
Rh: 0.000 0.500 0.663
Rh: 0.500 0.500 0.000

***

A geometry-optimized Sr2YZr structure, computed with PBE.

## Properties
**Excess energy over the best structure of this formula in the dataset**: 90.6 kJ/mol of formula units
**Electronic total energy**: -4.11 eV per atom
**ΔE_f**: 0.487 eV per atom

Cell: 3.546 6.160 6.643 Å, 90.00 97.39 90.00°
Space group P2/m (No. 10)
Unique sites:
Sr: 0.243 0.000 0.258
Y: 0.500 0.500 0.000
Zr: 0.000 0.500 0.500

***

A geometry-optimized PuNb2P structure, computed with PBE.

## Properties
**Electronic total energy**: -9.92 eV per atom
**ΔE_f**: 0.055 eV per atom

Cell: 3.4093 3.4093 25.4418 Å, 90.00 90.00 120.00°
Space group R-3m (No. 166, hexagonal axes)
Unique sites:
Pu: 0.0000 0.0000 0.0000
Nb: 0.0000 0.0000 0.1107
P: 0.0000 0.0000 0.5000

***

A geometry-optimized YCdTeN2 structure, computed with PBE.

## Properties
**E_form (uncorrected)**: 0.9783 eV per atom
**Excess energy over the best structure of this formula in the dataset**: 150.0 kJ/mol of formula units
**Electronic total energy**: -4.46 eV per atom

Cell: 4.370 4.370 5.669 Å, 90.00 90.00 90.00°
Space group P4/mmm (No. 123)
Unique sites:
Y: 0.000 0.000 0.000
Cd: 0.500 0.500 0.500
Te: 0.500 0.500 0.000
N: 0.000 0.500 0.500

***

A geometry-optimized H2Au3I8 structure, computed with PBE.

## Properties
**Electronic total energy**: -2.18 eV per atom

Cell: 13.170 10.940 15.731 Å, 90.00 92.66 90.00°
Space group C2/c (No. 15)
Unique sites:
H: 0.241 0.227 0.159
Au: 0.000 0.150 0.750
Au: 0.148 0.300 0.420
I: 0.050 0.482 0.350
I: 0.090 0.165 0.898
I: 0.141 0.145 0.183
I: 0.214 0.083 0.466

***

A geometry-optimized Ta3NbIn structure, computed with PBE.

## Properties
**Excess energy over the best structure of this formula in the dataset**: 330.3 kJ/mol of formula units
**Electronic total energy**: -7.51 eV per atom
**ΔE_f**: 2.161 eV per atom

Cell: 4.941 4.941 4.941 Å, 90.00 90.00 90.00°
Space group Pm-3m (No. 221)
Unique sites:
Ta: 0.000 0.000 0.500
Nb: 0.500 0.500 0.500
In: 0.000 0.000 0.000

***

A geometry-optimized PuTl2Zn3F12 structure, computed with PBE.

## Properties
**E_form (uncorrected)**: -2.4703 eV per atom
**Electronic total energy**: -4.99 eV per atom

Cell: 7.6543 7.6543 16.4072 Å, 90.00 90.00 120.00°
Space group R-3m (No. 166, hexagonal axes)
Unique sites:
Pu: 0.0000 0.0000 0.0000
Tl: 0.0000 0.0000 0.3896
Zn: 0.0000 0.5000 0.5000
F: 0.0028 0.5014 0.3728
F: 0.0930 0.5465 0.8065

***

A geometry-optimized CePu8Ir6 structure, computed with PBE.

## Properties
**Electronic total energy**: -11.97 eV per atom
**ΔE_f**: -0.382 eV per atom

Cell: 8.3381 8.3381 17.7764 Å, 90.00 90.00 120.00°
Space group R-3 (No. 148, hexagonal axes)
Unique sites:
Ce: 0.0000 0.0000 0.0000
Pu: 0.0000 0.0000 0.3351
Pu: 0.0032 0.3292 0.2220
Ir: 0.0002 0.3351 0.7246

***

A geometry-optimized Mg2ZnGe2Pd5 structure, computed with PBE.

## Properties
**Electronic total energy**: -4.47 eV per atom
**ΔE_f**: -0.507 eV per atom

Cell: 9.924 9.924 3.356 Å, 90.00 90.00 90.00°
Space group P4/mbm (No. 127)
Unique sites:
Mg: 0.169 0.331 0.000
Zn: 0.000 0.000 0.000
Ge: 0.137 0.637 0.000
Pd: 0.000 0.500 0.500
Pd: 0.035 0.795 0.500

***

A geometry-optimized Re3GeIr structure, computed with PBE.

## Properties
**Excess energy over the best structure of this formula in the dataset**: 0.0 kJ/mol of formula units
**Electronic total energy**: -8.26 eV per atom
**ΔE_f**: 1.909 eV per atom

Cell: 4.460 4.460 4.460 Å, 90.00 90.00 90.00°
Space group Pm-3m (No. 221)
Unique sites:
Re: 0.000 0.000 0.500
Ge: 0.000 0.000 0.000
Ir: 0.500 0.500 0.500

***

A geometry-optimized Ac3Pm12Er structure, computed with PBE.

## Properties
**Electronic total energy**: -4.59 eV per atom
**ΔE_f**: 0.030 eV per atom

Cell: 5.239 5.239 20.916 Å, 90.00 90.00 90.00°
Space group P4/mmm (No. 123)
Unique sites:
Ac: 0.000 0.000 0.000
Ac: 0.000 0.000 0.253
Pm: 0.000 0.500 0.127
Pm: 0.000 0.500 0.381
Pm: 0.500 0.500 0.000
Pm: 0.500 0.500 0.254
Pm: 0.500 0.500 0.500
Er: 0.000 0.000 0.500

***

A geometry-optimized NaMg2Zn structure, computed with PBE.

## Properties
**Electronic total energy**: -1.43 eV per atom
**ΔE_f**: 0.018 eV per atom

Cell: 3.192 3.192 8.989 Å, 90.00 90.00 90.00°
Space group P4/mmm (No. 123)
Unique sites:
Na: 0.000 0.000 0.000
Mg: 0.500 0.500 0.303
Zn: 0.000 0.000 0.500

***

A geometry-optimized Li6Tl structure, computed with PBE.

## Properties
**Excess energy over the best structure of this formula in the dataset**: 0.0 kJ/mol of formula units
**Electronic total energy**: -2.04 eV per atom
**ΔE_f**: -0.062 eV per atom

Cell: 4.897 4.897 5.982 Å, 90.00 90.00 90.00°
Space group P4/mmm (No. 123)
Unique sites:
Li: 0.000 0.000 0.000
Li: 0.000 0.500 0.247
Li: 0.500 0.500 0.500
Tl: 0.500 0.500 0.000

***

A geometry-optimized Li2HgOsW structure, computed with PBE.

## Properties
**Electronic total energy**: -4.60 eV per atom
**ΔE_f**: 1.064 eV per atom

Cell: 4.614 4.614 4.738 Å, 90.00 90.00 90.00°
Space group P4/mmm (No. 123)
Unique sites:
Li: 0.000 0.500 0.000
Hg: 0.000 0.000 0.500
Os: 0.500 0.500 0.000
W: 0.500 0.500 0.500

***

A geometry-optimized LaPm12Dy5 structure, computed with PBE.

## Properties
**Electronic total energy**: -4.63 eV per atom
**ΔE_f**: 0.085 eV per atom

Cell: 12.175 17.084 5.845 Å, 90.00 90.05 90.00°
Space group C2/m (No. 12)
Unique sites:
La: 0.000 0.000 0.000
Pm: 0.151 0.179 0.995
Pm: 0.151 0.321 0.506
Pm: 0.195 0.500 0.952
Pm: 0.202 0.000 0.549
Dy: 0.000 0.139 0.500
Dy: 0.000 0.362 0.000
Dy: 0.000 0.500 0.500